[1]
Entry from Alexandria via LeMat-Bulk: crystalline ErTm2Zn5 at its relaxed geometry (GGA-PBE).

Unit cell a=4.7720 b=4.7720 c=13.9098 alpha=90.00 beta=90.00 gamma=90.00
Space group I4/mmm (No. 139)
Unique sites:
Er 0.0000 0.0000 0.0000
Tm 0.0000 0.0000 0.2647
Zn 0.0000 0.0000 0.5000
Zn 0.0000 0.5000 0.1162

Output
Calculated total energy (eV/atom): -2.798
V (Å³/cell): 317
DOS(E_F) (states/eV per atom): 0.321
Calculated formation energy (eV/atom): -0.313


[2]
Entry from Alexandria via LeMat-Bulk: crystalline CdSb2Pt2 at its relaxed geometry (GGA-PBE).

Unit cell a=7.4425 b=7.4425 c=3.7965 alpha=90.00 beta=90.00 gamma=90.00
Space group P4/mbm (No. 127)
Unique sites:
Cd 0.0000 0.0000 0.0000
Sb 0.1637 0.3363 0.5000
Pt 0.1382 0.6382 0.0000

Output
Calculated total energy (eV/atom): -4.436
V (Å³/cell): 210
DOS(E_F) (states/eV per atom): 0.570
Energy above the most stable polymorph in this dataset (meV/atom): 0.0


[3]
Entry from Alexandria via LeMat-Bulk: crystalline Bi2IrPtO8 at its relaxed geometry (GGA-PBE).

Unit cell a=4.9071 b=6.6752 c=5.0173 alpha=90.00 beta=91.12 gamma=90.00
Space group P2/m (No. 10)
Unique sites:
Bi 0.0000 0.2493 0.0000
Ir 0.5000 0.5000 0.5000
Pt 0.5000 0.0000 0.5000
O 0.2395 0.0000 0.1829
O 0.2716 0.5000 0.1886
O 0.3003 0.2541 0.6376

Output
Calculated total energy (eV/atom): -5.981
V (Å³/cell): 164
DOS(E_F) (states/eV per atom): 0.390


[4]
Entry from Alexandria via LeMat-Bulk: crystalline MnGePN at its relaxed geometry (GGA-PBE).

Unit cell a=8.3470 b=2.7703 c=4.3649 alpha=90.00 beta=110.44 gamma=90.00
Space group Cm (No. 8)
Unique sites:
Mn 0.0000 0.0000 0.0000
Ge 0.3188 0.0000 0.2206
P 0.1298 0.0000 0.5898
N 0.3559 0.0000 0.6982

Output
Calculated total energy (eV/atom): -6.734
V (Å³/cell): 95
DOS(E_F) (states/eV per atom): 0.251
Energy above the most stable polymorph in this dataset (meV/atom): 156.9


[5]
Entry from Alexandria via LeMat-Bulk: crystalline DyPaGaCu at its relaxed geometry (GGA-PBE).

Unit cell a=7.0234 b=7.0234 c=7.0234 alpha=90.00 beta=90.00 gamma=90.00
Space group F-43m (No. 216)
Unique sites:
Dy 0.0000 0.0000 0.0000
Pa 0.0000 0.0000 0.5000
Ga 0.2500 0.2500 0.2500
Cu 0.2500 0.2500 0.7500

Output
Calculated total energy (eV/atom): -5.415
V (Å³/cell): 346
DOS(E_F) (states/eV per atom): 1.565
Calculated formation energy (eV/atom): -0.110


[6]
Entry from Alexandria via LeMat-Bulk: crystalline Cs2AgRhI6 at its relaxed geometry (GGA-PBE).

Unit cell a=11.5531 b=11.5531 c=11.5531 alpha=90.00 beta=90.00 gamma=90.00
Space group Fm-3m (No. 225)
Unique sites:
Cs 0.2500 0.2500 0.2500
Ag 0.0000 0.0000 0.0000
Rh 0.0000 0.0000 0.5000
I 0.0000 0.0000 0.2625

Output
Calculated total energy (eV/atom): -2.828
V (Å³/cell): 1542
DOS(E_F) (states/eV per atom): 0.638


[7]
Entry from Alexandria via LeMat-Bulk: crystalline YSn3Mo at its relaxed geometry (GGA-PBE).

Unit cell a=5.2327 b=5.2327 c=5.2327 alpha=90.00 beta=90.00 gamma=90.00
Space group Pm-3m (No. 221)
Unique sites:
Y 0.0000 0.0000 0.0000
Sn 0.0000 0.5000 0.5000
Mo 0.5000 0.5000 0.5000

Output
Calculated total energy (eV/atom): -5.597
V (Å³/cell): 143
DOS(E_F) (states/eV per atom): 1.092
Calculated formation energy (eV/atom): 0.264


[8]
Entry from Alexandria via LeMat-Bulk: crystalline DyErCd4 at its relaxed geometry (GGA-PBE).

Unit cell a=3.4224 b=4.9709 c=8.5838 alpha=90.00 beta=90.07 gamma=90.00
Space group P2/m (No. 10)
Unique sites:
Dy 0.0000 0.0000 0.0000
Er 0.0000 0.5000 0.5000
Cd 0.4990 0.0000 0.3336
Cd 0.5000 0.5000 0.1679

Output
Calculated total energy (eV/atom): -2.446
V (Å³/cell): 146
DOS(E_F) (states/eV per atom): 0.697
Calculated formation energy (eV/atom): -0.309
Energy above the most stable polymorph in this dataset (meV/atom): 0.0


[9]
Entry from Alexandria via LeMat-Bulk: crystalline Rb2ThSnSe4 at its relaxed geometry (GGA-PBE).

Unit cell a=7.7016 b=4.4180 c=8.3011 alpha=90.00 beta=107.41 gamma=90.00
Space group P2/m (No. 10)
Unique sites:
Rb 0.0000 0.0000 0.0000
Rb 0.5000 0.5000 0.0000
Th 0.0000 0.5000 0.5000
Sn 0.5000 0.0000 0.5000
Se 0.2223 0.0000 0.6982
Se 0.2508 0.5000 0.3009

Output
Calculated total energy (eV/atom): -4.705
V (Å³/cell): 270


[10]
Entry from Alexandria via LeMat-Bulk: crystalline La4Dy2ErTm at its relaxed geometry (GGA-PBE).

Unit cell a=5.2234 b=5.2497 c=9.8745 alpha=90.00 beta=90.00 gamma=90.00
Space group Pmmm (No. 47)
Unique sites:
La 0.0000 0.0000 0.2495
La 0.5000 0.5000 0.2496
Dy 0.0000 0.5000 0.0000
Dy 0.5000 0.0000 0.5000
Er 0.0000 0.5000 0.5000
Tm 0.5000 0.0000 0.0000

Output
Calculated total energy (eV/atom): -4.722
V (Å³/cell): 271
DOS(E_F) (states/eV per atom): 1.331
Calculated formation energy (eV/atom): 0.022


[11]
Entry from Alexandria via LeMat-Bulk: crystalline SrMnBAu2 at its relaxed geometry (GGA-PBE).

Unit cell a=4.6240 b=4.6240 c=4.3480 alpha=90.00 beta=90.00 gamma=90.00
Space group P4/mmm (No. 123)
Unique sites:
Sr 0.0000 0.0000 0.0000
Mn 0.5000 0.5000 0.0000
B 0.5000 0.5000 0.5000
Au 0.0000 0.5000 0.5000

Output
Calculated total energy (eV/atom): -4.846
V (Å³/cell): 93
DOS(E_F) (states/eV per atom): 0.651
Calculated formation energy (eV/atom): -0.029


[12]
Entry from Alexandria via LeMat-Bulk: crystalline Pr3Er4Zn at its relaxed geometry (GGA-PBE).

Unit cell a=3.5875 b=3.5875 c=18.9808 alpha=90.00 beta=90.00 gamma=90.00
Space group P4/mmm (No. 123)
Unique sites:
Pr 0.0000 0.0000 0.0000
Pr 0.0000 0.0000 0.2706
Er 0.5000 0.5000 0.1351
Er 0.5000 0.5000 0.4083
Zn 0.0000 0.0000 0.5000

Output
Calculated total energy (eV/atom): -4.305
V (Å³/cell): 244
DOS(E_F) (states/eV per atom): 1.215
Calculated formation energy (eV/atom): -0.072


Q: Which formula does entry 8 have?
A: DyErCd4